[1]
# Ba2InCuSb

A relaxed Ba2InCuSb crystal (PBE-GGA, Alexandria).

Lattice parameters (Å, degrees): 6.0365 4.9713 6.0365 90.00 90.00 90.00
Positions (direct):
Ba 0.5000 0.0000 0.0000
Ba 0.0000 0.0000 0.5000
Cu 0.0000 0.0000 0.0000
In 0.0000 0.5000 0.0000
Sb 0.5000 0.5000 0.5000

***

[2]
# BaIn2CuSn

A relaxed BaIn2CuSn crystal (PBE-GGA, Alexandria).

## Properties
As for the calculated formation energy: -159 meV/atom.

Lattice parameters (Å, degrees): 5.2504 5.2504 5.2848 90.00 90.00 90.00
Positions (direct):
In 0.5000 0.0000 0.0000
In 0.0000 0.5000 0.0000
Ba 0.5000 0.5000 0.5000
Sn 0.0000 0.0000 0.5000
Cu 0.0000 0.0000 0.0000

***

[3]
# BaInCu2Sn

A relaxed BaInCu2Sn crystal (PBE-GGA, Alexandria).

## Properties
As for the calculated formation energy: 164 meV/atom.

Lattice parameters (Å, degrees): 5.0572 5.7249 5.0572 90.00 90.00 90.00
Positions (direct):
Cu 0.0000 0.0000 0.5000
Cu 0.5000 0.0000 0.0000
Sn 0.0000 0.5000 0.0000
In 0.0000 0.0000 0.0000
Ba 0.5000 0.5000 0.5000

***

[4]
# Ba2SrInCu

A relaxed Ba2SrInCu crystal (PBE-GGA, Alexandria).

## Properties
The energy above the most stable polymorph in this dataset comes out at 0.0000 eV/atom. As for the calculated formation energy: -71 meV/atom.

Lattice parameters (Å, degrees): 6.3294 6.3294 5.1463 90.00 90.00 90.00
Positions (direct):
Ba 0.5000 0.0000 0.0000
Ba 0.0000 0.5000 0.0000
Cu 0.0000 0.0000 0.0000
Sr 0.5000 0.5000 0.5000
In 0.0000 0.0000 0.5000

***

[5]
# Ba2SrInCu

A relaxed Ba2SrInCu crystal (PBE-GGA, Alexandria).

## Properties
The energy above the most stable polymorph in this dataset comes out at 0.0791 eV/atom. As for the calculated formation energy: 8 meV/atom.

Lattice parameters (Å, degrees): 6.1060 5.9418 6.1060 90.00 90.00 90.00
Positions (direct):
In 0.5000 0.5000 0.5000
Ba 0.5000 0.0000 0.0000
Ba 0.0000 0.0000 0.5000
Cu 0.0000 0.0000 0.0000
Sr 0.0000 0.5000 0.0000

***

[6]
# BaTaIn2Cu

A relaxed BaTaIn2Cu crystal (PBE-GGA, Alexandria).

## Properties
As for the calculated formation energy: 963 meV/atom.

Lattice parameters (Å, degrees): 5.4798 5.8131 5.4798 90.00 90.00 90.00
Positions (direct):
Ta 0.0000 0.0000 0.0000
In 0.0000 0.0000 0.5000
In 0.5000 0.0000 0.0000
Ba 0.0000 0.5000 0.0000
Cu 0.5000 0.5000 0.5000

***

[7]
# BaTl2InCu

A relaxed BaTl2InCu crystal (PBE-GGA, Alexandria).

## Properties
The energy above the most stable polymorph in this dataset comes out at 0.5655 eV/atom. As for the calculated formation energy: 477 meV/atom.

Lattice parameters (Å, degrees): 5.7078 6.8675 5.7078 90.00 90.00 90.00
Positions (direct):
In 0.0000 0.0000 0.0000
Cu 0.5000 0.5000 0.5000
Tl 0.0000 0.0000 0.5000
Tl 0.5000 0.0000 0.0000
Ba 0.0000 0.5000 0.0000

***

[8]
# BaTl2InCu

A relaxed BaTl2InCu crystal (PBE-GGA, Alexandria).

## Properties
The energy above the most stable polymorph in this dataset comes out at 0.0000 eV/atom. As for the calculated formation energy: -89 meV/atom.

Lattice parameters (Å, degrees): 5.3701 5.3701 5.2482 90.00 90.00 90.00
Positions (direct):
Tl 0.0000 0.5000 0.0000
Tl 0.5000 0.0000 0.0000
Ba 0.5000 0.5000 0.5000
Cu 0.0000 0.0000 0.0000
In 0.0000 0.0000 0.5000

***

[9]
# BaTlIn2Cu

A relaxed BaTlIn2Cu crystal (PBE-GGA, Alexandria).

## Properties
The energy above the most stable polymorph in this dataset comes out at 0.6311 eV/atom. As for the calculated formation energy: 516 meV/atom.

Lattice parameters (Å, degrees): 5.6691 6.8603 5.6691 90.00 90.00 90.00
Positions (direct):
In 0.5000 0.0000 0.0000
In 0.0000 0.0000 0.5000
Cu 0.5000 0.5000 0.5000
Tl 0.0000 0.0000 0.0000
Ba 0.0000 0.5000 0.0000

***

[10]
# Ba2Tl6InCu

A relaxed Ba2Tl6InCu crystal (PBE-GGA, Alexandria).

## Properties
As for the calculated formation energy: -144 meV/atom.

Lattice parameters (Å, degrees): 7.5543 7.5543 13.9872 74.33 74.33 60.00
Positions (direct):
Tl 0.2153 0.6619 0.9075
Tl 0.3395 0.3395 0.4103
Tl 0.3395 0.9107 0.4103
Tl 0.2153 0.2153 0.9075
Tl 0.6619 0.2153 0.9075
Tl 0.6605 0.0893 0.5897
Tl 0.7847 0.7847 0.0925
Tl 0.3381 0.7847 0.0925
Tl 0.7847 0.3381 0.0925
Tl 0.6605 0.6605 0.5897
Tl 0.9107 0.3395 0.4103
Tl 0.0893 0.6605 0.5897
Ba 0.8922 0.8922 0.3233
Ba 0.2793 0.2793 0.1620
Ba 0.7207 0.7207 0.8380
Ba 0.1078 0.1078 0.6767
In 0.4255 0.4255 0.7234
In 0.5745 0.5745 0.2766
Cu 0.5000 0.5000 0.5000
Cu 0.0000 0.0000 0.0000

***

[11]
# BaTlIn2Cu

A relaxed BaTlIn2Cu crystal (PBE-GGA, Alexandria).

## Properties
The energy above the most stable polymorph in this dataset comes out at 0.0000 eV/atom. As for the calculated formation energy: -115 meV/atom.

Lattice parameters (Å, degrees): 5.2436 5.2436 5.3918 90.00 90.00 90.00
Positions (direct):
Cu 0.0000 0.0000 0.0000
In 0.0000 0.5000 0.0000
In 0.5000 0.0000 0.0000
Tl 0.0000 0.0000 0.5000
Ba 0.5000 0.5000 0.5000

***

[12]
# BaZn2InCu

A relaxed BaZn2InCu crystal (PBE-GGA, Alexandria).

## Properties
As for the calculated formation energy: -83 meV/atom.

Lattice parameters (Å, degrees): 4.9328 4.9328 5.0645 90.00 90.00 90.00
Positions (direct):
In 0.0000 0.0000 0.5000
Zn 0.5000 0.0000 0.0000
Zn 0.0000 0.5000 0.0000
Cu 0.0000 0.0000 0.0000
Ba 0.5000 0.5000 0.5000

***

no.,total magnetic moment (μB/atom),uncorrected energy (eV/atom),ρ (g cm⁻³)
1,0.00,-3.31,5.27
2,0.00,-3.26,6.26
3,0.00,-3.21,5.65
4,0.00,-2.54,4.35
5,0.00,-2.46,4.05
6,0.00,-3.71,5.82
7,0.00,-2.22,5.38
8,0.00,-2.79,7.95
9,0.00,-2.26,4.78
10,0.00,-2.63,8.49
11,0.00,-2.89,7.11
12,0.00,-2.34,6.02